Entry 1:
Compound: Ac4OsPtCl2
Source: the Alexandria database
Functional: PBE
Structure: optimized geometry

ΔE_f (raw) (eV/atom): -1.17
Crystal system: monoclinic
V (Å³/atom): 32.82
Symmetry: P2/m, No. 10

Cell and atoms, written as POSCAR:
```
Ac4OsPtCl2
1.0
7.5536 0.0000 0.0000
0.0000 4.3707 0.0000
-2.4874 0.0000 7.9520
Ac Os Pt Cl
4 1 1 2
Direct
0.2245 0.0000 0.2050 Ac
0.2569 0.5000 0.7979 Ac
0.7431 0.5000 0.2021 Ac
0.7755 0.0000 0.7950 Ac
0.0000 0.5000 0.0000 Os
0.5000 0.0000 0.0000 Pt
0.0000 0.0000 0.5000 Cl
0.5000 0.5000 0.5000 Cl
```

---

Entry 2:
Compound: Ac8OsRh3Cl4
Source: the Alexandria database
Functional: PBE
Structure: optimized geometry

ΔE_f (raw) (eV/atom): -1.16
Crystal system: monoclinic
V (Å³/atom): 32.19
Symmetry: C2/m, No. 12

Cell and atoms, written as POSCAR:
```
Ac8OsRh3Cl4
1.0
7.4577 -4.3058 0.0000
7.4577 4.3058 0.0000
-4.9793 0.0000 8.0203
Ac Os Rh Cl
8 1 3 4
Direct
0.2324 0.2324 0.7032 Ac
0.2323 0.7389 0.7032 Ac
0.2611 0.7677 0.2968 Ac
0.2661 0.2661 0.2987 Ac
0.7339 0.7339 0.7013 Ac
0.7389 0.2323 0.7032 Ac
0.7677 0.2611 0.2968 Ac
0.7676 0.7676 0.2968 Ac
0.0000 0.0000 0.5000 Os
0.0000 0.5000 0.5000 Rh
0.5000 0.0000 0.5000 Rh
0.5000 0.5000 0.5000 Rh
0.0000 0.0000 0.0000 Cl
0.0000 0.5000 0.0000 Cl
0.5000 0.0000 0.0000 Cl
0.5000 0.5000 0.0000 Cl
```